Entry 1:
First-principles (PBE) data for an optimized crystal structure of Fe3CoPd4, as listed in Alexandria.

```
Fe3CoPd4
1.0
4.2240 -1.9076 0.0000
4.2240 1.9076 0.0000
-3.4742 0.0000 6.8252
Fe Co Pd
3 1 4
Cartesian
0.0000 0.0000 0.0000 Fe
3.3261 0.0000 1.7393 Fe
1.6477 0.0000 5.0860 Fe
-1.7371 0.0000 3.4126 Co
0.7954 0.0000 2.5594 Pd
-0.9185 0.0000 5.9693 Pd
5.8923 0.0000 0.8559 Pd
4.1784 0.0000 4.2658 Pd
```

Output
Symmetry = No. 12
E_form = -3.5 kJ/mol of atoms



Entry 2:
First-principles (PBE) data for an optimized crystal structure of Zn8Ir2Au, as listed in Alexandria.

```
Zn8Ir2Au
1.0
3.9462 -5.1528 0.0000
3.9462 5.1528 0.0000
-0.0051 0.0000 4.2647
Zn Ir Au
8 2 1
Cartesian
1.2917 0.0000 4.2623 Zn
2.6078 1.4275 2.1272 Zn
3.9462 2.5986 0.0000 Zn
2.6078 -1.4275 2.1272 Zn
5.2795 1.4275 2.1375 Zn
3.9462 -2.5986 0.0000 Zn
5.2795 -1.4275 2.1375 Zn
6.5956 0.0000 0.0024 Zn
3.9436 3.8516 2.1324 Ir
3.9436 -3.8516 2.1324 Ir
3.9462 0.0000 0.0000 Au
```

Output
Symmetry = No. 12
E_form = -14.0 kJ/mol of atoms



Entry 3:
First-principles (PBE) data for an optimized crystal structure of AcBi3Pt, as listed in Alexandria.

```
AcBi3Pt
1.0
5.5004 0.0000 0.0000
0.0000 5.5004 0.0000
0.0000 0.0000 5.5004
Ac Bi Pt
1 3 1
Cartesian
0.0000 0.0000 0.0000 Ac
0.0000 2.7502 2.7502 Bi
2.7502 0.0000 2.7502 Bi
2.7502 2.7502 0.0000 Bi
2.7502 2.7502 2.7502 Pt
```

Output
Symmetry = No. 221
E_form = -21.2 kJ/mol of atoms



Entry 4:
First-principles (PBE) data for an optimized crystal structure of BaCa2LaI, as listed in Alexandria.

```
BaCa2LaI
1.0
6.0615 0.0000 0.0000
0.0000 6.0615 0.0000
0.0000 0.0000 6.3355
Ba Ca La I
1 2 1 1
Cartesian
0.0000 0.0000 0.0000 Ba
0.0000 3.0307 3.1677 Ca
3.0307 0.0000 3.1677 Ca
3.0307 3.0307 0.0000 La
3.0307 3.0307 3.1677 I
```

Output
Symmetry = No. 123
E_form (uncorrected) = -0.1067 eV per atom



no.,total DFT energy (no corrections) (eV per cell)
1,-53.56
2,-32.79
3,-22.89
4,-12.94